KHgBiAu | PBE | optimized geometry

Structure (extended XYZ):
```
4
Lattice="5.1821 0.0000 0.0000 -2.5911 4.5120 0.5158 0.0000 0.6670 5.4892" Properties=species:S:1:pos:R:3 pbc="T T T"
Bi 2.5911 3.9441 5.0753
Hg 0.0000 2.8096 1.3816
K 2.5911 1.0745 2.5771
Au 0.0000 2.2773 4.2415
```

N(E_F): 2.411 states/eV/cell
DFT formation energy: -3.2 kcal/mol of atoms
Total magnetization: 0.00 μB/cell
Total DFT energy (no corrections): -0.0837 Ha/atom
Relative energy among the computed polymorphs: 0 meV/atom